Record 1
Compound: Sb5C
Source: the Alexandria database
Functional: PBEsol
Structure: optimized geometry

Computed properties:
energy relative to the lowest polymorph listed for this composition = 46 meV per atom
calculated total energy = -4.80 eV/atom
formation energy without anion corrections = 0.6052 eV per atom

a = 3.2345 Å, b = 6.6345 Å, c = 7.6750 Å
α = 107.78°, β = 102.16°, γ = 90.00°
Last column: nearest neighbours and their distance in Å.
Fractional positions:
Sb (0.4276, 0.8401, 0.8552)  2 C 2.39
Sb (0.6201, 0.2180, 0.2402)  2 C 2.34
Sb (0.5977, 0.6590, 0.1955)  8 Sb 3.05-3.23
Sb (0.9237, 0.3434, 0.8475)  1 C 2.24
Sb (0.2622, 0.0009, 0.5243)  9 Sb 2.99-3.34
C (0.0020, 0.1053, 0.0040)  5 Sb 2.24-2.39


Record 2
Compound: Li2NiO2F
Source: the Alexandria database
Functional: PBEsol
Structure: optimized geometry

Computed properties:
energy relative to the lowest polymorph listed for this composition = 98 meV per atom
calculated total energy = -5.51 eV/atom
formation energy without anion corrections = -1.7554 eV per atom

a = 4.9078 Å, b = 4.9078 Å, c = 9.3100 Å
α = 101.32°, β = 101.39°, γ = 104.64°
Last column: nearest neighbours and their distance in Å.
Fractional positions:
Li (0.2078, 0.4598, 0.0086)  2 F 1.92-2.09, 3 O 1.95-2.09
Li (0.6951, 0.4381, 0.8230)  2 F 1.95, 3 O 2.06-2.12
Li (0.1320, 0.3842, 0.6574)  2 F 1.86-2.00, 2 O 1.94-2.03
Li (0.5270, 0.2771, 0.4923)  2 F 1.90-1.99, 3 O 1.95-2.11
Li (0.0488, 0.8008, 0.5086)  2 F 1.92-2.09, 3 O 1.95-2.09
Li (0.8850, 0.1279, 0.3230)  2 F 1.95, 3 O 2.06-2.12
Li (0.7732, 0.5255, 0.1574)  2 F 1.86-2.00, 2 O 1.94-2.03
Li (0.7152, 0.9653, 0.9923)  2 F 1.90-1.99, 3 O 1.95-2.11
Ni (0.1704, 0.9188, 0.8347)  4 O 1.81-1.85
Ni (0.6167, 0.8591, 0.6715)  4 O 1.83-1.92, 1 F 1.95
Ni (0.4159, 0.6642, 0.3347)  4 O 1.81-1.85
Ni (0.3125, 0.0549, 0.1715)  4 O 1.83-1.92, 1 F 1.95
O (0.9130, 0.1317, 0.8332)  2 Ni 1.83-1.88
O (0.4217, 0.7087, 0.8114)  2 Ni 1.81-1.92, 2 Li 1.94-1.95
O (0.8762, 0.6498, 0.6765)  2 Ni 1.83-1.85, 1 Li 2.03
O (0.3304, 0.5819, 0.5074)  2 Ni 1.83-1.88, 2 Li 1.95-1.97
O (0.6027, 0.3897, 0.3114)  2 Ni 1.81-1.92, 2 Li 1.94-1.95
O (0.2015, 0.9202, 0.3332)  2 Ni 1.83-1.88
O (0.5267, 0.8004, 0.1765)  2 Ni 1.83-1.85, 1 Li 2.03
O (0.4255, 0.1769, 0.0074)  2 Ni 1.83-1.88, 2 Li 1.95-1.97
F (0.4034, 0.1418, 0.6540)  4 Li 1.90-2.09, 1 Ni 1.95
F (0.8325, 0.0775, 0.5197)  4 Li 1.86-1.99
F (0.0122, 0.2506, 0.1540)  4 Li 1.90-2.09, 1 Ni 1.95
F (0.9422, 0.6872, 0.0197)  4 Li 1.86-1.99


What volume values result from the calculations? In sequence: 25.5 8.6 Å³ per atom.